# CdCoN2Cl

A relaxed CdCoN2Cl crystal (PBE, the Alexandria database).

The structure in POSCAR format:
```
CdCoN2Cl
1.0
4.174 0.000 0.000
0.000 4.174 0.000
0.000 0.000 4.082
Cd Co N Cl
1 1 2 1
direct
0.000 0.000 0.000 Cd
0.500 0.500 0.000 Co
0.000 0.500 0.500 N
0.500 0.000 0.500 N
0.500 0.500 0.500 Cl
```

Values from the calculation:
energy above the lowest structure with this stoichiometry	1.378	eV per atom
DOS at the Fermi energy	3.53	states/eV/f.u.
crystal system	tetragonal

***

# CdCoNCl2

A relaxed CdCoNCl2 crystal (PBE, the Alexandria database).

The structure in POSCAR format:
```
CdCoNCl2
1.0
4.459 0.000 0.000
0.000 4.459 0.000
0.000 0.000 5.620
Cd Co N Cl
1 1 1 2
direct
0.000 0.000 0.000 Cd
0.000 0.000 0.500 Co
0.500 0.500 0.000 N
0.000 0.500 0.500 Cl
0.500 0.000 0.500 Cl
```

Values from the calculation:
DOS at the Fermi energy	4.84	states/eV/f.u.
crystal system	tetragonal

***

# CdCoN2Cl

A relaxed CdCoN2Cl crystal (PBE, the Alexandria database).

The structure in POSCAR format:
```
CdCoN2Cl
1.0
3.615 0.000 0.000
0.000 3.615 0.000
0.000 0.000 5.717
Cd Co N Cl
1 1 2 1
direct
0.000 0.000 0.000 Cd
0.000 0.000 0.500 Co
0.000 0.500 0.500 N
0.500 0.000 0.500 N
0.500 0.500 0.000 Cl
```

Values from the calculation:
energy above the lowest structure with this stoichiometry	0.000	eV per atom
DOS at the Fermi energy	2.40	states/eV/f.u.
crystal system	tetragonal

***

# NaCdCoCl2

A relaxed NaCdCoCl2 crystal (PBE, the Alexandria database).

The structure in POSCAR format:
```
NaCdCoCl2
1.0
5.039 0.000 0.000
0.000 5.039 0.000
0.000 0.000 7.801
Na Cd Co Cl
1 1 1 2
direct
0.000 0.000 0.000 Na
0.000 0.000 0.500 Cd
0.500 0.500 0.000 Co
0.000 0.500 0.500 Cl
0.500 0.000 0.500 Cl
```

Values from the calculation:
DOS at the Fermi energy	14.36	states/eV/f.u.
crystal system	tetragonal

***

# NaCdCo2Cl8

A relaxed NaCdCo2Cl8 crystal (PBE, the Alexandria database).

The structure in POSCAR format:
```
NaCdCo2Cl8
1.0
3.174 1.832 9.145
-3.174 1.832 9.145
0.000 -3.665 9.145
Na Cd Co Cl
1 1 2 8
direct
0.000 0.000 0.000 Na
0.500 0.500 0.500 Cd
0.249 0.249 0.249 Co
0.751 0.751 0.751 Co
0.106 0.436 0.785 Cl
0.215 0.894 0.564 Cl
0.328 0.328 0.328 Cl
0.436 0.785 0.106 Cl
0.564 0.215 0.894 Cl
0.672 0.672 0.672 Cl
0.785 0.106 0.436 Cl
0.894 0.564 0.215 Cl
```

Values from the calculation:
DOS at the Fermi energy	12.27	states/eV/f.u.
crystal system	trigonal

***

# CdCoNi2Cl

A relaxed CdCoNi2Cl crystal (PBE, the Alexandria database).

The structure in POSCAR format:
```
CdCoNi2Cl
1.0
4.506 0.000 0.000
0.000 4.506 0.000
0.000 0.000 4.291
Cd Co Ni Cl
1 1 2 1
direct
0.000 0.000 0.000 Cd
0.500 0.500 0.500 Co
0.000 0.500 0.500 Ni
0.500 0.000 0.500 Ni
0.500 0.500 0.000 Cl
```

Values from the calculation:
DOS at the Fermi energy	4.15	states/eV/f.u.
crystal system	tetragonal

***

# CdCoP2Cl

A relaxed CdCoP2Cl crystal (PBE, the Alexandria database).

The structure in POSCAR format:
```
CdCoP2Cl
1.0
4.120 0.000 0.000
0.000 4.120 0.000
0.000 0.000 7.074
Cd Co P Cl
1 1 2 1
direct
0.000 0.000 0.000 Cd
0.500 0.500 0.500 Co
0.000 0.500 0.500 P
0.500 0.000 0.500 P
0.500 0.500 0.000 Cl
```

Values from the calculation:
energy above the lowest structure with this stoichiometry	0.000	eV per atom
DOS at the Fermi energy	2.76	states/eV/f.u.
crystal system	tetragonal

***

# CdCoP2Cl

A relaxed CdCoP2Cl crystal (PBE, the Alexandria database).

The structure in POSCAR format:
```
CdCoP2Cl
1.0
4.937 0.000 0.000
0.000 4.937 0.000
0.000 0.000 5.195
Cd Co P Cl
1 1 2 1
direct
0.000 0.000 0.000 Cd
0.500 0.500 0.500 Co
0.000 0.500 0.000 P
0.500 0.000 0.000 P
0.000 0.000 0.500 Cl
```

Values from the calculation:
energy above the lowest structure with this stoichiometry	1.149	eV per atom
DOS at the Fermi energy	9.94	states/eV/f.u.
crystal system	tetragonal

***

# RbCd2CoCl8

A relaxed RbCd2CoCl8 crystal (PBE, the Alexandria database).

The structure in POSCAR format:
```
RbCd2CoCl8
1.0
5.258 -3.448 0.000
5.258 3.448 0.000
-0.694 0.000 9.422
Rb Cd Co Cl
1 2 1 8
direct
0.000 0.000 0.000 Rb
0.357 0.357 0.682 Cd
0.643 0.643 0.318 Cd
0.000 0.000 0.500 Co
0.198 0.738 0.330 Cl
0.209 0.209 0.461 Cl
0.262 0.802 0.670 Cl
0.316 0.316 0.930 Cl
0.684 0.684 0.070 Cl
0.738 0.198 0.330 Cl
0.791 0.791 0.539 Cl
0.802 0.262 0.670 Cl
```

Values from the calculation:
crystal system	monoclinic

***

# RbCdCoCl5

A relaxed RbCdCoCl5 crystal (PBE, the Alexandria database).

The structure in POSCAR format:
```
RbCdCoCl5
1.0
4.502 -5.999 0.000
4.502 5.999 0.000
-3.678 0.000 8.687
Rb Cd Co Cl
2 2 2 10
direct
0.151 0.849 0.750 Rb
0.849 0.151 0.250 Rb
0.500 0.500 0.000 Cd
0.500 0.500 0.500 Cd
0.189 0.811 0.250 Co
0.811 0.189 0.750 Co
0.104 0.261 0.930 Cl
0.186 0.596 0.384 Cl
0.261 0.104 0.430 Cl
0.404 0.814 0.116 Cl
0.421 0.579 0.750 Cl
0.579 0.421 0.250 Cl
0.596 0.186 0.884 Cl
0.739 0.896 0.570 Cl
0.814 0.404 0.616 Cl
0.896 0.739 0.070 Cl
```

Values from the calculation:
crystal system	monoclinic

***

# CdCoSCl2

A relaxed CdCoSCl2 crystal (PBE, the Alexandria database).

The structure in POSCAR format:
```
CdCoSCl2
1.0
4.644 0.000 0.000
0.000 4.644 0.000
0.000 0.000 4.561
Cd Co S Cl
1 1 1 2
direct
0.000 0.000 0.000 Cd
0.500 0.500 0.500 Co
0.500 0.500 0.000 S
0.000 0.500 0.500 Cl
0.500 0.000 0.500 Cl
```

Values from the calculation:
energy above the lowest structure with this stoichiometry	0.000	eV per atom
DOS at the Fermi energy	4.26	states/eV/f.u.
crystal system	tetragonal

***

# CdCoSCl2

A relaxed CdCoSCl2 crystal (PBE, the Alexandria database).

The structure in POSCAR format:
```
CdCoSCl2
1.0
5.023 0.000 0.000
0.000 5.023 0.000
0.000 0.000 5.199
Cd Co S Cl
1 1 1 2
direct
0.000 0.000 0.000 Cd
0.500 0.500 0.500 Co
0.000 0.000 0.500 S
0.000 0.500 0.000 Cl
0.500 0.000 0.000 Cl
```

Values from the calculation:
energy above the lowest structure with this stoichiometry	0.601	eV per atom
DOS at the Fermi energy	10.98	states/eV/f.u.
crystal system	tetragonal

***

Taking the records one at a time from the top gives E_form (uncorrected) values of 2.05, 0.84, 0.67, 0.31, -0.82, 0.68, 0.20, 1.35, -1.01, -1.12, -0.15, 0.45 eV per atom.